Computed, not measured: LaTb2Cd5 after structural relaxation at the PBE level of DFT.

Cell lengths 5.263, 5.263, 15.084 Å; angles 90.00, 90.00, 90.00 degrees
Space group I4/mmm (No. 139)
Asymmetric unit:
La (0.000, 0.000, 0.000) (multiplicity 2)
Tb (0.000, 0.000, 0.265) (multiplicity 4)
Cd (0.000, 0.000, 0.500) (multiplicity 2)
Cd (0.000, 0.500, 0.125) (multiplicity 8)

Energy relative to the elements in eV/atom: -0.3193
E in eV for the cell shown: -42.64